Below is an optimized crystal structure of LaPmCoNi, with properties calculated at the PBE level.

Summary:
- DOS(E_F) (states/eV/atom) = 0.731
- energy of formation from the pure elements (meV/atom) = -203
- offset from the most stable computed form (meV/atom) = 0
- calculated total energy (eV per atom) = -5.84

Unit cell a=3.915 b=3.983 c=5.946 alpha=90.00 beta=109.22 gamma=90.00
Fractional positions:
1 Ni 0.568 0.500 0.136
2 Pm 0.139 0.000 0.278
3 La 0.863 0.500 0.727
4 Co 0.430 0.000 0.860

---

Below is an optimized crystal structure of LaPrCoNi, with properties calculated at the PBE level.

Summary:
- DOS(E_F) (states/eV/atom) = 0.592
- energy of formation from the pure elements (meV/atom) = -78
- offset from the most stable computed form (meV/atom) = 98
- calculated total energy (eV per atom) = -5.73

Unit cell a=4.957 b=4.957 c=4.957 alpha=60.00 beta=60.00 gamma=60.00
Fractional positions:
1 Co 0.750 0.750 0.750
2 Ni 0.250 0.250 0.250
3 Pr 0.500 0.500 0.500
4 La 0.000 0.000 0.000

---

Below is an optimized crystal structure of LaPrCoNi, with properties calculated at the PBE level.

Summary:
- DOS(E_F) (states/eV/atom) = 0.766
- energy of formation from the pure elements (meV/atom) = -176
- offset from the most stable computed form (meV/atom) = 0
- calculated total energy (eV per atom) = -5.82

Unit cell a=3.941 b=3.990 c=6.023 alpha=90.00 beta=109.10 gamma=90.00
Fractional positions:
1 La 0.865 0.500 0.731
2 Co 0.429 0.000 0.859
3 Pr 0.140 0.000 0.280
4 Ni 0.565 0.500 0.130

---

Below is an optimized crystal structure of La8CoNiPt2, with properties calculated at the PBE level.

Summary:
- DOS(E_F) (states/eV/atom) = 1.196
- energy of formation from the pure elements (meV/atom) = -443
- calculated total energy (eV per atom) = -5.81

Unit cell a=6.814 b=6.883 c=8.408 alpha=90.01 beta=90.00 gamma=89.90
Fractional positions:
1 La 0.852 0.224 0.758
2 La 0.342 0.254 0.000
3 La 0.148 0.775 0.758
4 La 0.148 0.776 0.242
5 La 0.852 0.225 0.242
6 Pt 0.500 0.500 0.251
7 La 0.658 0.746 0.000
8 Co 0.000 0.000 0.000
9 Pt 0.500 0.500 0.749
10 La 0.346 0.251 0.500
11 Ni 0.000 0.000 0.500
12 La 0.654 0.749 0.500